3
Lattice="-2.480 -3.098 -1.010 -3.733 0.770 -1.496 -0.825 -0.762 -3.938" Properties=species:S:1:pos:R:3 comment="BTeW | the Open Quantum Materials Database | PBE | optimized geometry" space_group="F-43m (216)" total_energy_ev_per_atom=-6.222 pbc="T T T"
Te -1.759 -0.773 -1.611
W -5.278 -2.318 -4.833
B 0.000 0.000 0.000